(1)
Computed, not measured: a geometry-optimized La2RuAu structure at the PBE-GGA level of DFT.

abc: 4.1857 4.1857 21.9504
angles: 90.00 90.00 120.00
Space group R-3m (No. 166, hexagonal axes)
Unique sites:
La  0.0000  0.0000  0.2378 x6
Ru  0.0000  0.0000  0.5000 x3
Au  0.0000  0.0000  0.0000 x3

Crystal system   trigonal
Theoretical density   8.6 g/cm3
E_tot   -72.50 eV per cell
Magnetization   0.00 μB/cell
Formation energy from the elements   -0.440 eV per atom



(2)
Computed, not measured: a geometry-optimized LaRuAu2 structure at the PBE-GGA level of DFT.

abc: 3.7216 4.4384 9.8417
angles: 90.00 90.00 90.00
Space group Immm (No. 71)
Unique sites:
La  0.0000  0.0000  0.0000 x2
Ru  0.0000  0.0000  0.5000 x2
Au  0.0000  0.5000  0.2310 x4

Crystal system   orthorhombic
Theoretical density   13.0 g/cm3
E_tot   -43.12 eV per cell
Magnetization   1.20 μB/cell
Formation energy from the elements   -0.201 eV per atom
Offset from the most stable computed form   72 meV per atom



(3)
Computed, not measured: a geometry-optimized LaRu3Au structure at the PBE-GGA level of DFT.

abc: 4.7937 4.7937 4.7937
angles: 90.00 90.00 90.00
Space group Pm-3m (No. 221)
Unique sites:
La  0.0000  0.0000  0.0000 x1
Ru  0.0000  0.0000  0.5000 x3
Au  0.5000  0.5000  0.5000 x1

Crystal system   cubic
Theoretical density   9.6 g/cm3
E_tot   -26.94 eV per cell
Magnetization   3.08 μB/cell
Formation energy from the elements   1.818 eV per atom
Offset from the most stable computed form   549 meV per atom



(4)
Computed, not measured: a geometry-optimized La2RuAu structure at the PBE-GGA level of DFT.

abc: 4.2824 4.2824 6.0865
angles: 90.00 90.00 90.00
Space group P4mm (No. 99)
Unique sites:
La  0.0000  0.0000  0.0000 x1
La  0.5000  0.5000  0.4207 x1
Ru  0.0000  0.0000  0.4040 x1
Au  0.5000  0.5000  0.9113 x1

Crystal system   tetragonal
Theoretical density   8.6 g/cm3
E_tot   -23.86 eV per cell
Magnetization   0.00 μB/cell
Formation energy from the elements   -0.362 eV per atom



(5)
Computed, not measured: a geometry-optimized LaRuAu2 structure at the PBE-GGA level of DFT.

abc: 3.9954 3.9954 21.3216
angles: 90.00 90.00 90.00
Space group I-42d (No. 122)
Unique sites:
La  0.0000  0.0000  0.0000 x4
Ru  0.0000  0.0000  0.5000 x4
Au  0.2326  0.2500  0.6250 x8

Crystal system   tetragonal
Theoretical density   12.4 g/cm3
E_tot   -83.32 eV per cell
Magnetization   0.00 μB/cell
Formation energy from the elements   -0.018 eV per atom
Offset from the most stable computed form   254 meV per atom



(6)
Computed, not measured: a geometry-optimized La4Ru2Au structure at the PBE-GGA level of DFT.

abc: 8.7540 14.3208 7.4046
angles: 90.00 125.84 90.00
Space group Cc (No. 9)
Unique sites:
La  0.0000  0.0242  0.0000 x4
La  0.2610  0.3171  0.6822 x4
La  0.3920  0.2325  0.2953 x4
La  0.4796  0.0398  0.6555 x4
Ru  0.1246  0.1581  0.3454 x4
Ru  0.2145  0.4175  0.0478 x4
Au  0.2466  0.1279  0.8406 x4

Crystal system   monoclinic
Theoretical density   8.4 g/cm3
E_tot   -177.49 eV per cell
Magnetization   0.00 μB/cell
Formation energy from the elements   -0.405 eV per atom



(7)
Computed, not measured: a geometry-optimized La2RuAu structure at the PBE-GGA level of DFT.

abc: 4.1813 4.1813 22.1684
angles: 90.00 90.00 120.00
Space group R3m (No. 160, hexagonal axes)
Unique sites:
La  0.0000  0.0000  0.0000 x3
La  0.0000  0.0000  0.1930 x3
Ru  0.0000  0.0000  0.5950 x3
Au  0.0000  0.0000  0.4311 x3

Crystal system   trigonal
Theoretical density   8.5 g/cm3
E_tot   -72.43 eV per cell
Magnetization   0.00 μB/cell
Formation energy from the elements   -0.434 eV per atom



(8)
Computed, not measured: a geometry-optimized La2RuAu structure at the PBE-GGA level of DFT.

abc: 4.3867 4.3867 9.7840
angles: 90.00 90.00 90.00
Space group I-4m2 (No. 119)
Unique sites:
La  0.0000  0.0000  0.0000 x2
La  0.0000  0.5000  0.2500 x2
Ru  0.0000  0.5000  0.7500 x2
Au  0.0000  0.0000  0.5000 x2

Crystal system   tetragonal
Theoretical density   10.2 g/cm3
E_tot   -46.88 eV per cell
Magnetization   0.00 μB/cell
Formation energy from the elements   -0.258 eV per atom



(9)
Computed, not measured: a geometry-optimized La4RuAu2 structure at the PBE-GGA level of DFT.

abc: 5.3384 5.3384 15.4276
angles: 90.00 90.00 90.00
Space group I4/mmm (No. 139)
Unique sites:
La  0.0000  0.0000  0.1875 x4
La  0.0000  0.5000  0.0000 x4
Ru  0.0000  0.0000  0.0000 x2
Au  0.0000  0.0000  0.3782 x4

Crystal system   tetragonal
Theoretical density   7.9 g/cm3
E_tot   -77.06 eV per cell
Magnetization   0.00 μB/cell
Formation energy from the elements   -0.427 eV per atom
Offset from the most stable computed form   88 meV per atom



(10)
Computed, not measured: a geometry-optimized La6Ru2Au structure at the PBE-GGA level of DFT.

abc: 15.9358 10.7100 6.5098
angles: 90.00 107.73 90.00
Space group C2/c (No. 15)
Unique sites:
La  0.1045  0.0718  0.1525 x8
La  0.1057  0.4306  0.1574 x8
La  0.1871  0.2491  0.7067 x8
Ru  0.2492  0.0088  0.9987 x8
Au  0.0000  0.2550  0.7500 x4

Crystal system   monoclinic
Theoretical density   7.7 g/cm3
E_tot   -217.82 eV per cell
Magnetization   0.00 μB/cell
Formation energy from the elements   -0.340 eV per atom
Offset from the most stable computed form   9 meV per atom



(11)
Computed, not measured: a geometry-optimized LaRuAu2 structure at the PBE-GGA level of DFT.

abc: 6.9745 6.9745 6.9745
angles: 90.00 90.00 90.00
Space group Fm-3m (No. 225)
Unique sites:
La  0.0000  0.0000  0.0000 x4
Ru  0.0000  0.0000  0.5000 x4
Au  0.2500  0.2500  0.2500 x8

Crystal system   cubic
Theoretical density   12.4 g/cm3
E_tot   -84.19 eV per cell
Magnetization   0.00 μB/cell
Formation energy from the elements   -0.072 eV per atom
Offset from the most stable computed form   200 meV per atom



(12)
Computed, not measured: a geometry-optimized La6RuAu2 structure at the PBE-GGA level of DFT.

abc: 7.0891 7.6522 12.4021
angles: 90.00 120.50 90.00
Space group P2_1/c (No. 14)
Unique sites:
La  0.1114  0.0341  0.2517 x4
La  0.2396  0.6859  0.0678 x4
La  0.3734  0.1928  0.0602 x4
Ru  0.0000  0.0000  0.0000 x2
Au  0.3234  0.1033  0.7707 x4

Crystal system   monoclinic
Theoretical density   7.6 g/cm3
E_tot   -99.21 eV per cell
Magnetization   0.00 μB/cell
Formation energy from the elements   -0.468 eV per atom